[1]
Computed, not measured: a geometry-optimized K2O2F structure at the PBE-GGA level of DFT.

Unit cell a=7.9226 b=7.9226 c=7.9226 alpha=157.32 beta=157.32 gamma=32.29
Element x y z (fractional)
K 0.1057 0.1057 0.0000
K 0.8943 0.8943 0.0000
O 0.2500 0.7500 0.5000
O 0.7500 0.2500 0.5000
F 0.5000 0.5000 0.0000

E_tot = -3.78 eV per atom
Crystal system = tetragonal
N(E_F) = 1.489 states/eV/f.u.

=====

[2]
Computed, not measured: a geometry-optimized CsPbNF2 structure at the PBE-GGA level of DFT.

Unit cell a=4.8973 b=4.8973 c=4.4805 alpha=90.00 beta=90.00 gamma=90.00
Element x y z (fractional)
Cs 0.0000 0.0000 0.0000
Pb 0.5000 0.5000 0.5000
N 0.5000 0.5000 0.0000
F 0.0000 0.5000 0.5000
F 0.5000 0.0000 0.5000

E_tot = -4.41 eV per atom
Energy above the most stable polymorph in this dataset = 0.00 eV/f.u.
Crystal system = tetragonal
N(E_F) = 3.749 states/eV/f.u.

=====

Number 1: total magnetization 0.000 μB per atom. Number 2: total magnetization 0.196 μB per atom.